(1)
# La6Pr4Mg | Alexandria | PBE-GGA | optimized geometry
# **V**: 388.7 Å³/f.u.
# **Spin magnetization**: 0.00 μB per formula unit
# **DFT total energy**: -96.38 eV per cell
data_La6Pr4Mg
_chemical_formula_sum 'La12 Pr8 Mg2'
_cell_length_a 6.770
_cell_length_b 6.770
_cell_length_c 16.962
_cell_angle_alpha 90.00
_cell_angle_beta 90.00
_cell_angle_gamma 90.00
_symmetry_space_group_name_H-M 'I -4 2 m'
_symmetry_Int_Tables_number 121
_symmetry_space_group_name_Hall 'I -4 2'
loop_
_atom_site_label
_atom_site_type_symbol
_atom_site_fract_x
_atom_site_fract_y
_atom_site_fract_z
La1 La 0.000 0.500 0.000
La2 La 0.159 0.159 0.115
Pr1 Pr 0.178 0.178 0.316
Mg1 Mg 0.000 0.000 0.500

(2)
# Ac6Rh3Br | Alexandria | PBE-GGA | optimized geometry
# **V**: 356.4 Å³/f.u.
# **Spin magnetization**: 0.00 μB per formula unit
# **DFT total energy**: -111.38 eV per cell
# **Formation energy (no corrections)**: -71 kJ/mol of atoms
data_Ac6Rh3Br
_chemical_formula_sum 'Ac12 Rh6 Br2'
_cell_length_a 12.198
_cell_length_b 4.284
_cell_length_c 14.880
_cell_angle_alpha 90.00
_cell_angle_beta 113.56
_cell_angle_gamma 90.00
_symmetry_space_group_name_H-M 'P 1 21/m 1'
_symmetry_Int_Tables_number 11
loop_
_symmetry_equiv_pos_as_xyz
'x,y,z'
'-x,-y,-z'
'-x,y+1/2,-z'
'x,-y+1/2,z'
loop_
_atom_site_label
_atom_site_type_symbol
_atom_site_fract_x
_atom_site_fract_y
_atom_site_fract_z
Ac1 Ac 0.057 0.250 0.417
Ac2 Ac 0.069 0.250 0.917
Ac3 Ac 0.255 0.750 0.782
Ac4 Ac 0.261 0.250 0.220
Ac5 Ac 0.395 0.250 0.628
Ac6 Ac 0.414 0.750 0.075
Rh1 Rh 0.137 0.250 0.633
Rh2 Rh 0.168 0.750 0.068
Rh3 Rh 0.493 0.750 0.775
Br1 Br 0.316 0.750 0.425

(3)
# NdCuBiPd | Alexandria | PBE-GGA | optimized geometry
# **V**: 86.5 Å³/f.u.
# **Spin magnetization**: 0.00 μB per formula unit
# **DFT total energy**: -79.25 eV per cell
data_NdCuBiPd
_chemical_formula_sum 'Nd4 Cu4 Bi4 Pd4'
_cell_length_a 7.020
_cell_length_b 7.020
_cell_length_c 7.020
_cell_angle_alpha 90.00
_cell_angle_beta 90.00
_cell_angle_gamma 90.00
_symmetry_space_group_name_H-M 'F -4 3 m'
_symmetry_Int_Tables_number 216
_symmetry_space_group_name_Hall 'F -4 2 3'
loop_
_atom_site_label
_atom_site_type_symbol
_atom_site_fract_x
_atom_site_fract_y
_atom_site_fract_z
Nd1 Nd 0.000 0.000 0.000
Cu1 Cu 0.250 0.250 0.750
Bi1 Bi 0.000 0.000 0.500
Pd1 Pd 0.250 0.250 0.250

(4)
# Pm7Si3C2 | Alexandria | PBE-GGA | optimized geometry
# **V**: 304.7 Å³/f.u.
# **Spin magnetization**: 0.00 μB per formula unit
# **DFT total energy**: -144.77 eV per cell
# **Formation energy (no corrections)**: -35 kJ/mol of atoms
data_Pm7Si3C2
_chemical_formula_sum 'Pm14 Si6 C4'
_cell_length_a 4.925
_cell_length_b 4.925
_cell_length_c 25.121
_cell_angle_alpha 90.00
_cell_angle_beta 90.00
_cell_angle_gamma 90.00
_symmetry_space_group_name_H-M 'I 4/m m m'
_symmetry_Int_Tables_number 139
_symmetry_space_group_name_Hall '-I 4 2'
loop_
_atom_site_label
_atom_site_type_symbol
_atom_site_fract_x
_atom_site_fract_y
_atom_site_fract_z
Pm1 Pm 0.000 0.000 0.000
Pm2 Pm 0.000 0.000 0.203
Pm3 Pm 0.000 0.500 0.099
Si1 Si 0.000 0.000 0.323
Si2 Si 0.000 0.000 0.500
C1 C 0.000 0.000 0.103